a:
A relaxed K4Rb2Ag crystal, computed with GGA-PBE.

* M_tot: 0.00 μB per formula unit

a = 15.658 Å, b = 15.658 Å, c = 7.495 Å
α = 90.00°, β = 90.00°, γ = 90.00°
Space group I4/mcm (No. 140)
Unique sites:
K (0.087, 0.177, 0.000) x16
Rb (0.111, 0.389, 0.500) x8
Ag (0.000, 0.000, 0.250) x4

b:
A relaxed K4Rb2Ag crystal, computed with GGA-PBE.

* M_tot: 0.00 μB per formula unit

a = 6.676 Å, b = 6.676 Å, c = 22.657 Å
α = 90.00°, β = 90.00°, γ = 90.00°
Space group I4/mmm (No. 139)
Unique sites:
K (0.000, 0.000, 0.150) x4
K (0.000, 0.500, 0.000) x4
Rb (0.000, 0.000, 0.347) x4
Ag (0.000, 0.000, 0.000) x2

Which of them is the most stable, and which is the least stable? a and b, in that order.

a:
A relaxed KRbAg3 crystal, computed with GGA-PBE.

* M_tot: 0.00 μB per formula unit

a = 6.340 Å, b = 6.340 Å, c = 6.340 Å
α = 90.00°, β = 90.00°, γ = 90.00°
Space group Pm-3m (No. 221)
Unique sites:
K (0.000, 0.000, 0.000) x1
Rb (0.500, 0.500, 0.500) x1
Ag (0.000, 0.500, 0.500) x3

b:
A relaxed KRbAg3 crystal, computed with GGA-PBE.

* M_tot: 0.00 μB per formula unit

a = 6.118 Å, b = 6.118 Å, c = 6.118 Å
α = 90.00°, β = 90.00°, γ = 90.00°
Space group Pm-3m (No. 221)
Unique sites:
K (0.000, 0.000, 0.000) x1
Rb (0.500, 0.500, 0.500) x1
Ag (0.000, 0.000, 0.500) x3

c:
A relaxed KRbAg3 crystal, computed with GGA-PBE.

* M_tot: 0.00 μB per formula unit

a = 5.972 Å, b = 8.049 Å, c = 12.026 Å
α = 90.00°, β = 90.00°, γ = 90.00°
Space group Pnma (No. 62)
Unique sites:
K (0.000, 0.000, 0.000) x4
Rb (0.001, 0.250, 0.496) x4
Ag (0.009, 0.750, 0.231) x4
Ag (0.243, 0.567, 0.750) x8

Which of them is the most stable, and which is the least stable? c and a, in that order.

a:
A relaxed K2RbAgSn crystal, computed with GGA-PBE.

* M_tot: 0.00 μB per formula unit

a = 6.533 Å, b = 6.533 Å, c = 5.319 Å
α = 90.00°, β = 90.00°, γ = 90.00°
Space group P4/mmm (No. 123)
Unique sites:
K (0.000, 0.500, 0.000) x2
Rb (0.000, 0.000, 0.500) x1
Ag (0.500, 0.500, 0.000) x1
Sn (0.500, 0.500, 0.500) x1

b:
A relaxed K2RbAgSn crystal, computed with GGA-PBE.

* M_tot: 0.00 μB per formula unit

a = 6.835 Å, b = 6.835 Å, c = 5.360 Å
α = 90.00°, β = 90.00°, γ = 90.00°
Space group P4/mmm (No. 123)
Unique sites:
K (0.000, 0.500, 0.000) x2
Rb (0.000, 0.000, 0.500) x1
Ag (0.500, 0.500, 0.500) x1
Sn (0.500, 0.500, 0.000) x1

Which of them is the most stable, and which is the least stable? a and b, in that order.

a:
A relaxed K2RbTlAg crystal, computed with GGA-PBE.

* M_tot: 0.00 μB per formula unit

a = 6.670 Å, b = 6.670 Å, c = 5.510 Å
α = 90.00°, β = 90.00°, γ = 90.00°
Space group P4/mmm (No. 123)
Unique sites:
K (0.000, 0.500, 0.000) x2
Rb (0.000, 0.000, 0.500) x1
Tl (0.500, 0.500, 0.500) x1
Ag (0.500, 0.500, 0.000) x1

b:
A relaxed K2RbTlAg crystal, computed with GGA-PBE.

* M_tot: 0.00 μB per formula unit

a = 6.424 Å, b = 6.424 Å, c = 6.692 Å
α = 90.00°, β = 90.00°, γ = 90.00°
Space group P4/mmm (No. 123)
Unique sites:
K (0.000, 0.500, 0.000) x2
Rb (0.000, 0.000, 0.500) x1
Tl (0.500, 0.500, 0.500) x1
Ag (0.000, 0.000, 0.000) x1

Which of them is the most stable, and which is the least stable? a and b, in that order.